Computed, not measured: Re2Ni after structural relaxation at the PBE level of DFT.

a b c (Å): 4.792 4.792 4.792
angles (deg): 103.76 103.76 121.62
Element x y z (fractional)
Re1 0.649 0.149 0.798
Re2 0.351 0.851 0.202
Re3 0.149 0.351 0.500
Re4 0.851 0.649 0.500
Ni1 0.250 0.250 0.000
Ni2 0.750 0.750 0.000

Summary:
- ΔE to the lowest computed polymorph: 0.40 eV/f.u.
- ρ: 17.50 g/cm3
- Total magnetic moment: 0.00 μB/f.u.
- ΔE_f: 0.10 eV per atom